DFT (PBE) results for NaTiAu2 after structural relaxation.

Unit cell a=5.068 b=5.068 c=2.837 alpha=90.00 beta=90.00 gamma=90.00
Space group P4/mmm (No. 123)
Unique sites:
Na  0.000  0.000  0.000
Ti  0.500  0.500  0.000
Au  0.000  0.500  0.500

formation energy from the elements	-266	meV/atom
density of states at the Fermi level	0.676	states/eV per atom


DFT (PBE) results for MnAg2Au after structural relaxation.

Unit cell a=5.814 b=5.847 c=8.099 alpha=90.00 beta=90.00 gamma=90.00
Space group F222 (No. 22)
Unique sites:
Mn  0.000  0.000  0.000
Ag  0.000  0.000  0.500
Ag  0.250  0.250  0.250
Au  0.250  0.250  0.750

formation energy from the elements	53	meV/atom
density of states at the Fermi level	0.389	states/eV per atom


DFT (PBE) results for TlIn2Co after structural relaxation.

Unit cell a=3.3732 b=3.3732 c=27.2101 alpha=90.00 beta=90.00 gamma=120.00
Space group R-3m (No. 166, hexagonal axes)
Unique sites:
Tl  0.0000  0.0000  0.0000
In  0.0000  0.0000  0.2323
Co  0.0000  0.0000  0.5000

formation energy from the elements	228	meV/atom
density of states at the Fermi level	0.839	states/eV per atom


DFT (PBE) results for BiIrO5 after structural relaxation.

Unit cell a=9.143 b=12.582 c=5.615 alpha=90.00 beta=123.38 gamma=90.00
Space group C2/c (No. 15)
Unique sites:
Bi  0.250  0.250  0.000
Ir  0.000  0.132  0.250
O  0.000  0.325  0.750
O  0.136  0.112  0.097
O  0.192  0.160  0.594

density of states at the Fermi level	0.266	states/eV per atom
formation energy from raw total energies	-0.47	eV/atom


DFT (PBE) results for SrCa2CoP after structural relaxation.

Unit cell a=5.442 b=5.442 c=5.824 alpha=90.00 beta=90.00 gamma=90.00
Space group P4/mmm (No. 123)
Unique sites:
Sr  0.000  0.000  0.000
Ca  0.000  0.500  0.500
Co  0.500  0.500  0.000
P  0.000  0.000  0.500

formation energy from the elements	18	meV/atom
density of states at the Fermi level	1.090	states/eV per atom


Q: The highest density of states at the Fermi level belongs to which entry?
A: SrCa2CoP